Arrangement one

Computed, not measured: crystalline LiRe3I at its relaxed geometry at the PBEsol level of DFT.

The structure in POSCAR format:
```
LiRe3I
1.0
4.257 0.000 0.000
0.000 4.257 0.000
0.000 0.000 4.257
Li Re I
1 3 1
Cartesian
0.000 0.000 0.000 Li
0.000 0.000 2.129 Re
0.000 2.129 0.000 Re
2.129 0.000 0.000 Re
2.129 2.129 2.129 I
```

Properties
magnetic moment = 0.00 μB/atom
space group = Pm-3m

Arrangement two

Computed, not measured: crystalline LiRe3I at its relaxed geometry at the PBEsol level of DFT.

The structure in POSCAR format:
```
LiRe3I
1.0
4.800 0.000 0.000
0.000 4.800 0.000
0.000 0.000 4.800
Li Re I
1 3 1
Cartesian
0.000 0.000 0.000 Li
0.000 2.400 2.400 Re
2.400 0.000 2.400 Re
2.400 2.400 0.000 Re
2.400 2.400 2.400 I
```

Properties
magnetic moment = 0.36 μB/atom
space group = Pm-3m

Quick ranking, most stable first: arrangement one, arrangement two.